[1]
First-principles (PBE) data for crystalline AcTh2Tl at its relaxed geometry, as listed in the Alexandria database.

Calculated values
The raw total energy comes out at -5.26 eV per atom. The calculated formation energy is 0.064 eV/atom. The calculation puts the magnetization at 0.00 μB per cell.

a = 3.8770 Å, b = 3.8770 Å, c = 8.9973 Å
α = 90.00°, β = 90.00°, γ = 90.00°
Closest atoms and distances in Å follow each position.
Fractional positions:
Th1 0.0000 0.0000 0.7830  4 Tl 3.37, 4 Ac 3.74
Ac1 0.5000 0.5000 0.5000  8 Th 3.74, 4 Ac 3.88
Th2 0.0000 0.0000 0.2170  4 Tl 3.37, 4 Ac 3.74
Tl1 0.5000 0.5000 0.0000  8 Th 3.37

[2]
First-principles (PBE) data for crystalline TlTeAu2 at its relaxed geometry, as listed in the Alexandria database.

Calculated values
The raw total energy comes out at -2.87 eV per atom. The calculation puts the magnetization at 0.00 μB per cell. As for the energy relative to the elements, uncorrected: 146 meV per atom.

a = 4.8214 Å, b = 4.8214 Å, c = 4.0693 Å
α = 90.00°, β = 90.00°, γ = 90.00°
Closest atoms and distances in Å follow each position.
Fractional positions:
Au1 0.5000 0.5000 0.0000  4 Tl 3.15, 4 Te 3.15, 4 Au 3.41
Te1 0.5000 0.0000 0.5000  8 Au 3.15, 4 Tl 3.41
Tl1 0.0000 0.5000 0.5000  8 Au 3.15, 4 Te 3.41
Au2 0.0000 0.0000 0.0000  4 Tl 3.15, 4 Te 3.15, 4 Au 3.41

[3]
First-principles (PBE) data for crystalline BeCdBIrAu at its relaxed geometry, as listed in the Alexandria database.

Calculated values
The raw total energy comes out at -4.82 eV per atom. The calculated formation energy is -0.126 eV/atom. The calculation puts the magnetization at 0.00 μB per cell.

a = 3.3900 Å, b = 3.3900 Å, c = 7.3872 Å
α = 90.00°, β = 90.00°, γ = 120.00°
Closest atoms and distances in Å follow each position.
Fractional positions:
Be1 0.0000 0.0000 0.6657  3 B 2.09
Ir1 0.3333 0.6667 0.8606  3 B 2.08
Cd1 0.0000 0.0000 0.1583  3 Au 2.91, 3 Ir 2.94
Au1 0.6667 0.3333 0.4498  1 B 2.32, 3 Be 2.52
B1 0.6667 0.3333 0.7633  3 Ir 2.08, 3 Be 2.09, 1 Au 2.32

[4]
First-principles (PBE) data for crystalline Li2ZrAs2 at its relaxed geometry, as listed in the Alexandria database.

Calculated values
The raw total energy comes out at -4.91 eV per atom. The calculated formation energy is -0.578 eV/atom. The calculation puts the magnetization at 0.00 μB per cell.

a = 7.5588 Å, b = 7.5588 Å, c = 3.0422 Å
α = 90.00°, β = 90.00°, γ = 90.00°
Closest atoms and distances in Å follow each position.
Fractional positions:
Li1 0.6242 0.8758 0.5000  6 As 2.63-2.76, 1 Li 2.66
Li2 0.8758 0.3758 0.5000  6 As 2.63-2.76, 1 Li 2.66
Zr1 0.5000 0.5000 0.0000  4 As 2.79, 2 Zr 3.04
As1 0.1754 0.3246 0.0000  6 Li 2.63-2.76, 2 Zr 2.79
Li3 0.1242 0.6242 0.5000  6 As 2.63-2.76, 1 Li 2.66
Zr2 0.0000 0.0000 0.0000  4 As 2.79, 2 Zr 3.04
Li4 0.3758 0.1242 0.5000  6 As 2.63-2.76, 1 Li 2.66
As2 0.8246 0.6754 0.0000  6 Li 2.63-2.76, 2 Zr 2.79
As3 0.3246 0.8246 0.0000  6 Li 2.63-2.76, 2 Zr 2.79
As4 0.6754 0.1754 0.0000  6 Li 2.63-2.76, 2 Zr 2.79

[5]
First-principles (PBE) data for crystalline SrBeCo2Pd at its relaxed geometry, as listed in the Alexandria database.

Calculated values
The raw total energy comes out at -4.35 eV per atom. The calculated formation energy is 0.608 eV/atom. The calculation puts the magnetization at 2.06 μB per cell.

a = 4.0773 Å, b = 5.2630 Å, c = 4.0773 Å
α = 90.00°, β = 90.00°, γ = 90.00°
Closest atoms and distances in Å follow each position.
Fractional positions:
Be1 0.0000 0.0000 0.0000  4 Co 2.04
Co1 0.0000 0.0000 0.5000  2 Be 2.04
Pd1 0.5000 0.5000 0.5000  4 Sr 2.88
Sr1 0.0000 0.5000 0.0000  2 Be 2.63, 4 Pd 2.88
Co2 0.5000 0.0000 0.0000  2 Be 2.04